Compound: MgMnPt4
Source: the Alexandria database
Functional: PBE
Structure: optimized geometry

Unit cell a=5.2757 b=5.2757 c=5.2757 alpha=60.00 beta=60.00 gamma=60.00
Closest atoms and distances in Å follow each position.
Atoms (fractional coordinates):
Mg 0.2500 0.2500 0.2500  12 Pt 3.09, 4 Mn 3.23
Pt 0.6249 0.1252 0.6249  6 Pt 2.64
Pt 0.1252 0.6249 0.6249  6 Pt 2.64
Mn 0.0000 0.0000 0.0000  12 Pt 3.09, 4 Mg 3.23
Pt 0.6249 0.6249 0.6249  6 Pt 2.64
Pt 0.6249 0.6249 0.1252  6 Pt 2.64

## Properties
**Energy of formation from the pure elements**: -1.89 eV per formula unit
**Mass density**: 13.75 g/cm3
**E**: -6.136 eV per atom
**Polymorph energy (0 for the lowest one)**: 0.109 eV per atom
**V**: 103.8 Å³/cell

***

Compound: Mg3MnPt
Source: the Alexandria database
Functional: PBE
Structure: optimized geometry

Unit cell a=4.8307 b=4.8307 c=4.8307 alpha=90.00 beta=90.00 gamma=90.00
Closest atoms and distances in Å follow each position.
Atoms (fractional coordinates):
Mg 0.5000 0.0000 0.0000  2 Mn 2.42
Mg 0.0000 0.5000 0.0000  2 Mn 2.42
Mn 0.0000 0.0000 0.0000  6 Mg 2.42
Mg 0.0000 0.0000 0.5000  2 Mn 2.42
Pt 0.5000 0.5000 0.5000  12 Mg 3.42

## Properties
**Energy of formation from the pure elements**: 4.13 eV per formula unit
**Mass density**: 4.76 g/cm3
**E**: -3.173 eV per atom
**Polymorph energy (0 for the lowest one)**: 0.693 eV per atom
**V**: 112.7 Å³/cell

***

Compound: Mg2MnPt4
Source: the Alexandria database
Functional: PBE
Structure: optimized geometry

Unit cell a=4.6493 b=4.6493 c=7.3849 alpha=71.65 beta=71.65 gamma=90.00
Closest atoms and distances in Å follow each position.
Atoms (fractional coordinates):
Mg 0.3787 0.3787 0.2426  5 Pt 2.58-2.82
Mg 0.6213 0.6213 0.7574  5 Pt 2.58-2.82
Mn 0.0000 0.0000 0.0000  6 Pt 2.32-2.43
Pt 0.5000 0.0000 0.0000  2 Mn 2.32
Pt 0.1839 0.1839 0.6321  1 Mn 2.43, 1 Mg 2.58
Pt 0.0000 0.5000 0.0000  2 Mn 2.32
Pt 0.8161 0.8161 0.3679  1 Mn 2.43, 1 Mg 2.58

## Properties
**Energy of formation from the pure elements**: 1.96 eV per formula unit
**Mass density**: 10.27 g/cm3
**E**: -4.938 eV per atom
**V**: 142.9 Å³/cell

***

Compound: Mg2MnPt
Source: the Alexandria database
Functional: PBE
Structure: optimized geometry

Unit cell a=3.3347 b=3.3347 c=5.9411 alpha=90.00 beta=90.00 gamma=90.00
Closest atoms and distances in Å follow each position.
Atoms (fractional coordinates):
Pt 0.5000 0.5000 0.7500  8 Mg 2.75, 2 Mn 2.97
Mg 0.0000 0.0000 0.9894  4 Pt 2.75, 4 Mn 2.82, 1 Mg 2.84
Mg 0.0000 0.0000 0.5106  4 Pt 2.75, 4 Mn 2.82, 1 Mg 2.84
Mn 0.5000 0.5000 0.2500  8 Mg 2.82, 2 Pt 2.97

## Properties
**Energy of formation from the pure elements**: -1.10 eV per formula unit
**Mass density**: 7.51 g/cm3
**E**: -4.876 eV per atom
**V**: 66.1 Å³/cell

***

Compound: MgMnPt2
Source: the Alexandria database
Functional: PBE
Structure: optimized geometry

Unit cell a=2.8434 b=2.8434 c=7.9639 alpha=90.00 beta=90.00 gamma=90.00
Closest atoms and distances in Å follow each position.
Atoms (fractional coordinates):
Pt 0.0000 0.0000 0.9911  4 Mn 2.67, 8 Pt 2.84-2.90
Mn 0.5000 0.5000 0.7712  4 Pt 2.67, 4 Mn 2.84
Mg 0.0000 0.0000 0.4841  4 Pt 2.72, 4 Mg 2.84, 4 Mn 3.04
Pt 0.5000 0.5000 0.2535  4 Mg 2.72, 8 Pt 2.84-2.90

## Properties
**Energy of formation from the pure elements**: -1.05 eV per formula unit
**Mass density**: 12.11 g/cm3
**E**: -5.974 eV per atom
**V**: 64.4 Å³/cell

***

Compound: Mg2MnPt
Source: the Alexandria database
Functional: PBE
Structure: optimized geometry

Unit cell a=4.5186 b=4.5186 c=4.5186 alpha=60.00 beta=60.00 gamma=60.00
Closest atoms and distances in Å follow each position.
Atoms (fractional coordinates):
Mg 0.2500 0.2500 0.2500  4 Mg 2.77, 4 Mn 2.77
Mg 0.0000 0.0000 0.0000  4 Pt 2.77, 4 Mg 2.77
Mn 0.5000 0.5000 0.5000  4 Mg 2.77, 4 Pt 2.77
Pt 0.7500 0.7500 0.7500  4 Mn 2.77, 4 Mg 2.77

## Properties
**Energy of formation from the pure elements**: -1.37 eV per formula unit
**Mass density**: 7.60 g/cm3
**E**: -4.942 eV per atom
**V**: 65.2 Å³/cell